1.
An optimized crystal structure of Pm5As3Au12. Source: the Alexandria database, functional PBE.

```
80
Lattice="-8.235 8.235 8.235 8.235 -8.235 8.235 8.235 8.235 -8.235" Properties=species:S:1:pos:R:3 pbc="T T T"
Pm 0.000 0.000 0.000
Pm 4.118 4.118 -4.118
Pm 4.118 -4.118 4.118
Pm 8.235 0.000 0.000
Pm 12.353 2.059 0.000
Pm 8.235 -4.118 6.176
Pm 6.176 8.235 -4.118
Pm 6.176 0.000 4.118
Pm 4.118 6.176 0.000
Pm 8.235 4.118 2.059
Pm -4.118 4.118 4.118
Pm 0.000 8.235 0.000
Pm 0.000 0.000 8.235
Pm 4.118 4.118 4.118
Pm 0.000 4.118 6.176
Pm 4.118 2.059 8.235
Pm 2.059 8.235 4.118
Pm 2.059 0.000 12.353
Pm 0.000 12.353 2.059
Pm -4.118 6.176 8.235
As 4.118 2.059 0.000
As 8.235 4.118 -2.059
As 2.059 0.000 4.118
As 10.294 0.000 4.118
As 0.000 4.118 2.059
As 4.118 -2.059 8.235
As 4.118 10.294 0.000
As 8.235 4.118 6.176
As -2.059 8.235 4.118
As 6.176 8.235 4.118
As 0.000 4.118 10.294
As 4.118 6.176 8.235
Au 7.998 -1.532 2.482
Au 12.590 -1.636 2.586
Au 2.482 -0.237 1.532
Au 9.871 5.649 -4.354
Au 10.717 0.237 1.532
Au 9.871 -2.586 4.354
Au 1.532 2.482 -0.237
Au 10.821 3.881 -1.636
Au 5.649 4.354 -1.636
Au 6.703 2.482 0.237
Au -0.237 1.532 2.482
Au 4.354 -1.636 5.649
Au 7.998 6.703 -2.482
Au 4.354 1.636 2.586
Au 6.703 -2.482 7.998
Au 5.649 -4.354 9.871
Au 2.586 4.354 1.636
Au 9.767 5.753 0.237
Au 2.482 7.998 -1.532
Au 9.871 2.586 3.881
Au 1.636 2.586 4.354
Au 2.482 0.237 6.703
Au 4.354 9.871 -2.586
Au 7.998 1.532 5.753
Au 0.237 6.703 2.482
Au 3.881 -1.636 10.821
Au 5.753 7.998 1.532
Au 6.600 5.649 3.881
Au -1.636 5.649 4.354
Au 5.753 0.237 9.767
Au -1.532 2.482 7.998
Au 5.649 3.881 6.600
Au 2.586 12.590 -1.636
Au 1.532 10.717 0.237
Au 3.881 6.600 5.649
Au 0.237 1.532 10.717
Au 3.881 9.871 2.586
Au 8.472 6.703 5.753
Au 1.532 5.753 7.998
Au 2.586 3.881 9.871
Au -2.586 4.354 9.871
Au 6.703 5.753 8.472
Au -1.636 10.821 3.881
Au -2.482 7.998 6.703
Au -1.636 2.586 12.590
Au 5.753 8.472 6.703
Au -4.354 9.871 5.649
Au 0.237 9.767 5.753
```

Energy of formation   -0.111 eV per atom
Electronic total energy   -317.02 eV per cell
Space-group type   Ia-3d, No. 230

=====

2.
An optimized crystal structure of PmAsAu. Source: the Alexandria database, functional PBE.

```
6
Lattice="5.194 -2.189 0.000 5.194 2.189 0.000 -1.113 0.000 6.470" Properties=species:S:1:pos:R:3 pbc="T T T"
Pm 0.922 0.000 1.682
Pm 8.353 0.000 4.788
As 1.032 0.000 4.629
As 8.244 0.000 1.841
Au 4.004 0.000 0.675
Au 5.272 0.000 5.795
```

Energy of formation   -0.939 eV per atom
Electronic total energy   -30.99 eV per cell
Space-group type   C2/m, No. 12
Energy above the lowest structure with this stoichiometry   0.000 eV per atom

=====

3.
An optimized crystal structure of PmAsAu. Source: the Alexandria database, functional PBE.

```
3
Lattice="-2.012 2.012 4.406 2.012 -2.012 4.406 2.012 2.012 -4.406" Properties=species:S:1:pos:R:3 pbc="T T T"
Pm 0.000 0.000 0.000
As 0.000 0.000 5.672
Au 0.000 0.000 2.949
```

Energy of formation   -0.694 eV per atom
Electronic total energy   -14.76 eV per cell
Space-group type   I4mm, No. 107
Energy above the lowest structure with this stoichiometry   0.245 eV per atom

=====

4.
An optimized crystal structure of PmPrAsAu. Source: the Alexandria database, functional PBE.

```
4
Lattice="0.000 3.697 3.697 3.697 0.000 3.697 3.697 3.697 0.000" Properties=species:S:1:pos:R:3 pbc="T T T"
Pm 0.000 0.000 0.000
Pr 3.697 3.697 3.697
As 1.848 1.848 1.848
Au 5.545 5.545 5.545
```

Energy of formation   -0.888 eV per atom
Electronic total energy   -21.01 eV per cell
Space-group type   F-43m, No. 216

=====

5.
An optimized crystal structure of Pm2As4Pt3Au. Source: the Alexandria database, functional PBE.

```
10
Lattice="4.535 0.000 0.000 0.000 4.535 0.000 0.000 0.000 9.820" Properties=species:S:1:pos:R:3 pbc="T T T"
Pm 0.000 2.268 2.419
Pm 2.268 0.000 7.401
As 0.000 0.000 0.000
As 0.000 2.268 6.224
As 2.268 0.000 3.596
As 2.268 2.268 0.000
Pt 0.000 2.268 8.681
Pt 2.268 0.000 1.139
Pt 2.268 2.268 4.910
Au 0.000 0.000 4.910
```

Energy of formation   -0.779 eV per atom
Electronic total energy   -57.29 eV per cell
Space-group type   P-4m2, No. 115

=====

6.
An optimized crystal structure of Pm2As3Pt4Au. Source: the Alexandria database, functional PBE.

```
10
Lattice="4.334 0.000 0.000 0.000 4.334 0.000 0.000 0.000 10.624" Properties=species:S:1:pos:R:3 pbc="T T T"
Pm 0.000 2.167 2.603
Pm 2.167 0.000 8.021
As 0.000 2.167 9.272
As 2.167 0.000 1.352
As 2.167 2.167 5.312
Pt 0.000 0.000 0.000
Pt 0.000 2.167 6.890
Pt 2.167 0.000 3.734
Pt 2.167 2.167 0.000
Au 0.000 0.000 5.312
```

Energy of formation   -0.760 eV per atom
Electronic total energy   -58.49 eV per cell
Space-group type   P-4m2, No. 115

=====

7.
An optimized crystal structure of PmPuAsAu. Source: the Alexandria database, functional PBE.

```
4
Lattice="0.000 3.643 3.643 3.643 0.000 3.643 3.643 3.643 0.000" Properties=species:S:1:pos:R:3 pbc="T T T"
Pm 0.000 0.000 0.000
Pu 3.643 3.643 3.643
As 5.465 5.465 5.465
Au 1.822 1.822 1.822
```

Energy of formation   -0.756 eV per atom
Electronic total energy   -30.03 eV per cell
Space-group type   F-43m, No. 216

=====

8.
An optimized crystal structure of PmAsRhAu. Source: the Alexandria database, functional PBE.

```
4
Lattice="0.000 3.403 3.403 3.403 0.000 3.403 3.403 3.403 0.000" Properties=species:S:1:pos:R:3 pbc="T T T"
Pm 0.000 0.000 0.000
As 5.105 5.105 5.105
Rh 3.403 3.403 3.403
Au 1.702 1.702 1.702
```

Energy of formation   -0.540 eV per atom
Electronic total energy   -22.19 eV per cell
Space-group type   F-43m, No. 216

=====

9.
An optimized crystal structure of Pm2As4Rh3Au. Source: the Alexandria database, functional PBE.

```
10
Lattice="4.365 0.000 0.000 0.000 4.365 0.000 0.000 0.000 10.015" Properties=species:S:1:pos:R:3 pbc="T T T"
Pm 0.000 2.182 2.443
Pm 2.182 0.000 7.571
As 0.000 0.000 0.000
As 0.000 2.182 6.450
As 2.182 0.000 3.565
As 2.182 2.182 0.000
Rh 0.000 2.182 8.860
Rh 2.182 0.000 1.155
Rh 2.182 2.182 5.007
Au 0.000 0.000 5.007
```

Energy of formation   -0.810 eV per atom
Electronic total energy   -61.53 eV per cell
Space-group type   P-4m2, No. 115

=====

10.
An optimized crystal structure of Pm2As3Rh4Au. Source: the Alexandria database, functional PBE.

```
10
Lattice="4.109 0.000 0.000 0.000 4.109 0.000 0.000 0.000 11.090" Properties=species:S:1:pos:R:3 pbc="T T T"
Pm 0.000 2.055 2.711
Pm 2.055 0.000 8.379
As 0.000 0.000 0.000
As 0.000 2.055 6.959
As 2.055 0.000 4.131
Rh 0.000 0.000 5.545
Rh 0.000 2.055 9.308
Rh 2.055 0.000 1.782
Rh 2.055 2.055 5.545
Au 2.055 2.055 0.000
```

Energy of formation   -0.792 eV per atom
Electronic total energy   -64.05 eV per cell
Space-group type   P-4m2, No. 115

=====

11.
An optimized crystal structure of Pm4As2AuS. Source: the Alexandria database, functional PBE.

```
8
Lattice="7.213 0.000 0.000 0.000 4.191 0.000 -2.404 0.000 6.968" Properties=species:S:1:pos:R:3 pbc="T T T"
Pm 1.183 0.000 1.659
Pm -0.042 2.095 5.274
Pm 4.851 2.095 1.694
Pm 3.625 0.000 5.310
As -1.202 0.000 3.484
As 0.000 2.095 0.000
Au 2.404 2.095 3.484
S 3.606 0.000 0.000
```

Electronic total energy   -47.19 eV per cell
Space-group type   P2/m, No. 10
E_form (uncorrected)   -1.44 eV per atom

=====

12.
An optimized crystal structure of PmSmAsAu. Source: the Alexandria database, functional PBE.

```
4
Lattice="0.000 3.662 3.662 3.662 0.000 3.662 3.662 3.662 0.000" Properties=species:S:1:pos:R:3 pbc="T T T"
Pm 0.000 0.000 0.000
Sm 3.662 3.662 3.662
As 1.831 1.831 1.831
Au 5.493 5.493 5.493
```

Energy of formation   -0.885 eV per atom
Electronic total energy   -20.94 eV per cell
Space-group type   F-43m, No. 216

=====

| no. | N(E_F) (states/eV per cell) |
| --- | --- |
| 1 | 42.00 |
| 2 | 0.51 |
| 3 | 1.53 |
| 4 | 4.45 |
| 5 | 3.08 |
| 6 | 6.06 |
| 7 | 10.32 |
| 8 | 1.36 |
| 9 | 5.01 |
| 10 | 3.83 |
| 11 | 4.79 |
| 12 | 4.64 |